(1)
This record from the Alexandria database describes a relaxed structure of YSi2Cl. The functional is PBE.

```
data_YSi2Cl
_chemical_formula_sum 'Y1 Si2 Cl1'
_cell_length_a 4.954
_cell_length_b 4.954
_cell_length_c 4.954
_cell_angle_alpha 60.00
_cell_angle_beta 60.00
_cell_angle_gamma 60.00
_space_group_name_H-M_alt 'P 1'
_space_group_IT_number 1
loop_
_space_group_symop_operation_xyz
'x,y,z'
loop_
_atom_site_label
_atom_site_type_symbol
_atom_site_fract_x
_atom_site_fract_y
_atom_site_fract_z
_atom_site_occupancy
Y1 Y 0.500 0.500 0.500 1
Si1 Si 0.250 0.250 0.250 1
Si2 Si 0.750 0.750 0.750 1
Cl1 Cl 0.000 0.000 0.000 1
```

Computed properties:
formation energy (no corrections): 1.04 eV per formula unit
VASP energy: -4.53 eV/atom
space-group type: Fm-3m, No. 225
M_tot: 0.000 Bohr magnetons per cell


(2)
This record from the Alexandria database describes a relaxed structure of MnGeHRh2. The functional is PBE.

```
data_MnGeHRh2
_chemical_formula_sum 'Mn1 Ge1 H1 Rh2'
_cell_length_a 3.982
_cell_length_b 3.982
_cell_length_c 3.723
_cell_angle_alpha 90.00
_cell_angle_beta 90.00
_cell_angle_gamma 90.00
_space_group_name_H-M_alt 'P 1'
_space_group_IT_number 1
loop_
_space_group_symop_operation_xyz
'x,y,z'
loop_
_atom_site_label
_atom_site_type_symbol
_atom_site_fract_x
_atom_site_fract_y
_atom_site_fract_z
_atom_site_occupancy
H1 H 0.000 0.000 0.000 1
Ge1 Ge 0.500 0.500 0.500 1
Mn1 Mn 0.000 0.000 0.500 1
Rh1 Rh 0.000 0.500 0.000 1
Rh2 Rh 0.500 0.000 0.000 1
```

Computed properties:
VASP energy: -6.64 eV/atom
space-group type: P4/mmm, No. 123
M_tot: 4.074 Bohr magnetons per cell


Look up the VASP energy of the first one.
-4.53 eV/atom


Number 1 is which compound?
YSi2Cl


Which value of M_tot does entry 1 give?
0.000 Bohr magnetons per cell